The following is a DFT calculation (GGA-PBE) of an optimized crystal structure of LaPm5Th3.

Cell lengths 12.2090, 10.5450, 9.1282 Å; angles 74.75, 63.07, 124.70 degrees
Sites, in units of the cell vectors:
Pm: 0.0551 0.3875 0.0004
Pm: 0.7765 0.9416 0.5023
Th: 0.5000 0.0000 0.5000
La: 0.2764 0.9425 0.0021
Pm: 0.3895 0.7229 0.0000
Pm: 0.5537 0.3875 0.5020
Pm: 0.6105 0.2771 0.0000
Pm: 0.1112 0.2786 0.4990
La: 0.7236 0.0575 0.9979
Th: 0.1659 0.6666 0.5030
Pm: 0.8888 0.7214 0.5010
Pm: 0.4463 0.6125 0.4980
Th: 0.8341 0.3334 0.4970
Pm: 0.2235 0.0584 0.4977
Th: 0.3336 0.3354 0.0003
Th: 0.0000 0.0000 0.0000
Pm: 0.9449 0.6125 0.9996
Th: 0.6664 0.6646 0.9997

E_form: 0.0830 eV/atom